Entry from Alexandria: an optimized crystal structure of MoS (GGA-PBE).

Output
Formation energy from raw total energies: -34.2 kJ per mole of atoms
Final energy: -15.667 eV per formula unit
N(E_F): 2.45 states/eV per cell
Space-group type: Cm, No. 8
Magnetic moment: 0.000 μB per atom

The structure in CIF format:
```
data_MoS
_chemical_formula_sum 'Mo2 S2'
_symmetry_space_group_name_H-M 'P 1'
_symmetry_Int_Tables_number 1
_cell_length_a 5.273
_cell_length_b 3.058
_cell_length_c 4.425
_cell_angle_alpha 90.00
_cell_angle_beta 113.93
_cell_angle_gamma 90.00
loop_
_symmetry_equiv_pos_as_xyz
'x,y,z'
loop_
_atom_site_label
_atom_site_fract_x
_atom_site_fract_y
_atom_site_fract_z
Mo1 0.000 0.000 0.000
Mo2 0.500 0.500 0.000
S1 0.203 0.000 0.614
S2 0.703 0.500 0.614
```